The following is a DFT calculation (PBE-GGA) of an optimized crystal structure of InAgSn.

Values from the calculation:
ΔE_f ... 0.0301 eV per atom
Crystal system ... orthorhombic

Cell lengths 8.3034, 4.5909, 7.7692 Å; angles 90.00, 90.00, 90.00 degrees
Closest atoms and distances in Å follow each position.
Fractional coordinates of all 12 atoms:
In1 0.0073 0.2500 0.2038  3 Ag 2.96-3.02, 3 Sn 2.98-3.20
In2 0.4927 0.7500 0.7038  3 Ag 2.96-3.02, 3 Sn 2.98-3.20
In3 0.5073 0.2500 0.2962  3 Ag 2.96-3.02, 3 Sn 2.98-3.20
In4 0.9927 0.7500 0.7962  3 Ag 2.96-3.02, 3 Sn 2.98-3.20
Ag1 0.0998 0.2500 0.5720  4 Sn 2.87-3.00, 3 In 2.96-3.02, 2 Ag 3.04
Ag2 0.4002 0.7500 0.0720  4 Sn 2.87-3.00, 3 In 2.96-3.02, 2 Ag 3.04
Ag3 0.5998 0.2500 0.9280  4 Sn 2.87-3.00, 3 In 2.96-3.02, 2 Ag 3.04
Ag4 0.9002 0.7500 0.4280  4 Sn 2.87-3.00, 3 In 2.96-3.02, 2 Ag 3.04
Sn1 0.2390 0.2500 0.9102  4 Ag 2.87-3.00, 3 In 2.98-3.20
Sn2 0.2610 0.7500 0.4102  4 Ag 2.87-3.00, 3 In 2.98-3.20
Sn3 0.7390 0.2500 0.5898  4 Ag 2.87-3.00, 3 In 2.98-3.20
Sn4 0.7610 0.7500 0.0898  4 Ag 2.87-3.00, 3 In 2.98-3.20